Entry 1:
First-principles (PBE) data for a geometry-optimized Ba2H3I structure, as listed in Alexandria.

The structure in CIF format:
```
data_Ba2H3I
_cell_length_a 4.5081
_cell_length_b 4.5081
_cell_length_c 16.3231
_cell_angle_alpha 90.00
_cell_angle_beta 90.00
_cell_angle_gamma 120.00
_symmetry_space_group_name_H-M 'P 63/m m c'
_symmetry_Int_Tables_number 194
_symmetry_space_group_name_Hall '-P 6c 2c'
loop_
_atom_site_label
_atom_site_type_symbol
_atom_site_fract_x
_atom_site_fract_y
_atom_site_fract_z
Ba1 Ba 0.3333 0.6667 0.0919
H1 H 0.0000 0.0000 0.0000
H2 H 0.3333 0.6667 0.5709
I1 I 0.0000 0.0000 0.2500
```

Output
E_tot (eV per atom): -3.45

---

Entry 2:
First-principles (PBE) data for a geometry-optimized Na4Hg5Pb2 structure, as listed in Alexandria.

The structure in CIF format:
```
data_Na4Hg5Pb2
_cell_length_a 8.263
_cell_length_b 3.402
_cell_length_c 10.757
_cell_angle_alpha 90.00
_cell_angle_beta 97.54
_cell_angle_gamma 90.00
_symmetry_space_group_name_H-M 'P 1 2/m 1'
_symmetry_Int_Tables_number 10
loop_
_symmetry_equiv_pos_as_xyz
'x,y,z'
'-x,-y,-z'
'-x,y,-z'
'x,-y,z'
loop_
_atom_site_label
_atom_site_type_symbol
_atom_site_fract_x
_atom_site_fract_y
_atom_site_fract_z
Na1 Na 0.172 0.000 0.407
Na2 Na 0.291 0.000 0.940
Hg1 Hg 0.190 0.500 0.661
Hg2 Hg 0.454 0.500 0.203
Hg3 Hg 0.500 0.500 0.500
Pb1 Pb 0.071 0.500 0.147
```

Output
Formation energy from the elements (kJ per mole of atoms): -17.1
Polymorph energy (0 for the lowest one) (meV/atom): 8

---

Entry 3:
First-principles (PBE) data for a geometry-optimized Ca3PSe structure, as listed in Alexandria.

The structure in CIF format:
```
data_Ca3PSe
_cell_length_a 5.416
_cell_length_b 5.416
_cell_length_c 5.416
_cell_angle_alpha 90.00
_cell_angle_beta 90.00
_cell_angle_gamma 90.00
_symmetry_space_group_name_H-M 'P m -3 m'
_symmetry_Int_Tables_number 221
_symmetry_space_group_name_Hall '-P 4 2 3'
loop_
_atom_site_label
_atom_site_type_symbol
_atom_site_fract_x
_atom_site_fract_y
_atom_site_fract_z
Ca1 Ca 0.000 0.000 0.500
P1 P 0.000 0.000 0.000
Se1 Se 0.500 0.500 0.500
```

Output
ΔE_f (raw) (eV/f.u.): -4.73
Polymorph energy (0 for the lowest one) (meV/atom): 324

---

The following density values (in g/cm3) correspond, in order, to the records above: 4.677 8.360 2.406.
The following magnetic moment values (in μB per atom) correspond, in order, to the records above: 0.0000 0.0000 0.0000.